This record from OQMD describes a relaxed Rb2As2W crystal. The functional is PBE-GGA.

```
Rb2As2W
1.0
3.723 -7.730 0.000
3.723 7.730 0.000
0.000 0.000 5.504
Rb As W
4 4 2
Direct
0.093 0.907 0.750 Rb
0.281 0.719 0.250 Rb
0.719 0.281 0.750 Rb
0.907 0.093 0.250 Rb
0.188 0.368 0.750 As
0.368 0.188 0.250 As
0.632 0.812 0.750 As
0.812 0.632 0.250 As
0.500 0.500 0.000 W
0.500 0.500 0.500 W
```

Values from the calculation:
Energy relative to the lowest polymorph listed for this composition ... 240 meV per atom